1.
This record from Alexandria describes a crystal of AlCuTcNi2 relaxed with PBEsol. The functional is meta-GGA SCAN.

extended XYZ file:
```
5
Lattice="4.140 0.000 0.000 0.000 4.140 0.000 0.000 0.000 4.452" Properties=species:S:1:pos:R:3 pbc="T T T"
Al 0.000 0.000 0.000
Cu 2.070 2.070 2.226
Tc 0.000 0.000 2.226
Ni 0.000 2.070 0.000
Ni 2.070 0.000 0.000
```

Space-group type: P4/mmm
Formation enthalpy at 0 K, kJ/mol of atoms: 113.6
Total DFT energy (no corrections), eV per atom: -16.894

***

2.
This record from Alexandria describes a crystal of YFe2P relaxed with PBEsol. The functional is meta-GGA SCAN.

extended XYZ file:
```
4
Lattice="-1.616 2.402 3.832 1.616 -2.402 3.832 1.616 2.402 -3.832" Properties=species:S:1:pos:R:3 pbc="T T T"
Y 0.000 0.000 0.000
Fe 1.616 0.000 2.323
Fe 0.000 2.402 1.509
P 0.000 0.000 3.832
```

Space-group type: Immm
Formation enthalpy at 0 K, kJ/mol of atoms: -4.7
Total DFT energy (no corrections), eV per atom: -18.674